# 1
Density functional theory data (PBE) for a relaxed GeBAu crystal.

Geometry as CIF:
```
data_GeBAu
_chemical_formula_sum 'Ge2 B2 Au2'
_symmetry_space_group_name_H-M 'P 1'
_symmetry_Int_Tables_number 1
_cell_length_a 3.134
_cell_length_b 6.731
_cell_length_c 5.759
_cell_angle_alpha 66.27
_cell_angle_beta 81.10
_cell_angle_gamma 85.51
loop_
_symmetry_equiv_pos_as_xyz
'x,y,z'
loop_
_atom_site_label
_atom_site_fract_x
_atom_site_fract_y
_atom_site_fract_z
Au1 0.772 0.235 0.029
B1 0.247 0.693 0.654
B2 0.738 0.620 0.729
Ge1 0.719 0.414 0.514
Au2 0.308 0.613 0.093
Ge2 0.253 0.915 0.267
```

Results
The calculation puts the total energy at -4.54 eV/atom. As for the space-group type: P1, No. 1. The calculation puts the energy of formation from the pure elements at 0.3182 eV per atom. The calculation puts the density of states at the Fermi level at 0.227 states/eV per atom.

***

# 2
Density functional theory data (PBE) for a relaxed GeBAu crystal.

Geometry as CIF:
```
data_GeBAu
_chemical_formula_sum 'Ge4 B4 Au4'
_symmetry_space_group_name_H-M 'P 1'
_symmetry_Int_Tables_number 1
_cell_length_a 4.822
_cell_length_b 6.822
_cell_length_c 6.262
_cell_angle_alpha 108.13
_cell_angle_beta 90.00
_cell_angle_gamma 90.00
loop_
_symmetry_equiv_pos_as_xyz
'x,y,z'
loop_
_atom_site_label
_atom_site_fract_x
_atom_site_fract_y
_atom_site_fract_z
Au1 0.750 0.015 0.623
Ge1 0.227 0.124 0.826
Ge2 0.727 0.376 0.174
Ge3 0.773 0.876 0.174
Au2 0.250 0.985 0.377
Au3 0.750 0.515 0.623
Au4 0.250 0.485 0.377
B1 0.864 0.573 0.975
B2 0.636 0.073 0.975
B3 0.136 0.427 0.025
Ge4 0.273 0.624 0.826
B4 0.364 0.927 0.025
```

Results
The calculation puts the total energy at -4.52 eV/atom. As for the space-group type: P2_1/c, No. 14. The calculation puts the energy of formation from the pure elements at 0.3386 eV per atom. The calculation puts the density of states at the Fermi level at 0.141 states/eV per atom.

***

# 3
Density functional theory data (PBE) for a relaxed GeBAu crystal.

Geometry as CIF:
```
data_GeBAu
_chemical_formula_sum 'Ge2 B2 Au2'
_symmetry_space_group_name_H-M 'P 1'
_symmetry_Int_Tables_number 1
_cell_length_a 3.142
_cell_length_b 5.896
_cell_length_c 5.881
_cell_angle_alpha 87.18
_cell_angle_beta 71.80
_cell_angle_gamma 83.91
loop_
_symmetry_equiv_pos_as_xyz
'x,y,z'
loop_
_atom_site_label
_atom_site_fract_x
_atom_site_fract_y
_atom_site_fract_z
Ge1 0.891 0.553 0.634
Ge2 0.594 0.173 0.296
B1 0.868 0.929 0.024
B2 0.404 0.906 0.971
Au1 0.921 0.055 0.640
Au2 0.612 0.576 0.152
```

Results
The calculation puts the total energy at -4.53 eV/atom. As for the space-group type: P1, No. 1. The calculation puts the energy of formation from the pure elements at 0.3323 eV per atom. The calculation puts the density of states at the Fermi level at 0.352 states/eV per atom.

***

# 4
Density functional theory data (PBE) for a relaxed GeBAu crystal.

Geometry as CIF:
```
data_GeBAu
_chemical_formula_sum 'Ge2 B2 Au2'
_symmetry_space_group_name_H-M 'P 1'
_symmetry_Int_Tables_number 1
_cell_length_a 3.164
_cell_length_b 6.968
_cell_length_c 5.889
_cell_angle_alpha 63.05
_cell_angle_beta 113.18
_cell_angle_gamma 116.46
loop_
_symmetry_equiv_pos_as_xyz
'x,y,z'
loop_
_atom_site_label
_atom_site_fract_x
_atom_site_fract_y
_atom_site_fract_z
Au1 0.494 0.593 0.455
Ge1 0.762 0.530 0.944
Au2 0.428 0.138 0.720
B1 0.155 0.827 0.067
B2 0.767 0.904 0.107
Ge2 0.160 0.201 0.231
```

Results
The calculation puts the total energy at -4.57 eV/atom. As for the space-group type: P-1, No. 2. The calculation puts the energy of formation from the pure elements at 0.2856 eV per atom. The calculation puts the density of states at the Fermi level at 0.280 states/eV per atom.

***

# 5
Density functional theory data (PBE) for a relaxed GeBAu crystal.

Geometry as CIF:
```
data_GeBAu
_chemical_formula_sum 'Ge2 B2 Au2'
_symmetry_space_group_name_H-M 'P 1'
_symmetry_Int_Tables_number 1
_cell_length_a 3.206
_cell_length_b 8.679
_cell_length_c 4.324
_cell_angle_alpha 105.37
_cell_angle_beta 67.37
_cell_angle_gamma 76.93
loop_
_symmetry_equiv_pos_as_xyz
'x,y,z'
loop_
_atom_site_label
_atom_site_fract_x
_atom_site_fract_y
_atom_site_fract_z
Au1 0.366 0.581 0.656
Ge1 0.000 0.998 0.475
Au2 0.558 0.157 0.187
B1 0.241 0.723 0.269
Ge2 0.090 0.351 0.943
B2 0.782 0.679 0.245
```

Results
The calculation puts the total energy at -4.54 eV/atom. As for the space-group type: P1, No. 1. The calculation puts the energy of formation from the pure elements at 0.3192 eV per atom. The calculation puts the density of states at the Fermi level at 0.350 states/eV per atom.

***

# 6
Density functional theory data (PBE) for a relaxed GeBAu crystal.

Geometry as CIF:
```
data_GeBAu
_chemical_formula_sum 'Ge2 B2 Au2'
_symmetry_space_group_name_H-M 'P 1'
_symmetry_Int_Tables_number 1
_cell_length_a 3.181
_cell_length_b 5.706
_cell_length_c 5.668
_cell_angle_alpha 94.99
_cell_angle_beta 83.30
_cell_angle_gamma 102.96
loop_
_symmetry_equiv_pos_as_xyz
'x,y,z'
loop_
_atom_site_label
_atom_site_fract_x
_atom_site_fract_y
_atom_site_fract_z
Au1 0.580 0.080 0.769
Ge1 0.197 0.175 0.409
Ge2 0.724 0.556 0.766
B1 0.218 0.901 0.116
B2 0.704 0.830 0.058
Au2 0.342 0.651 0.406
```

Results
The calculation puts the total energy at -4.55 eV/atom. As for the space-group type: P-1, No. 2. The calculation puts the energy of formation from the pure elements at 0.3058 eV per atom. The calculation puts the density of states at the Fermi level at 0.347 states/eV per atom.